1.
Below is an optimized crystal structure of NaLiTmIn, with properties calculated at the GGA-PBE level.

Geometry as CIF:
```
data_NaLiTmIn
_cell_length_a 7.351
_cell_length_b 7.351
_cell_length_c 7.351
_cell_angle_alpha 90.00
_cell_angle_beta 90.00
_cell_angle_gamma 90.00
_space_group_name_H-M_alt 'F -4 3 m'
_space_group_IT_number 216
_space_group_name_Hall 'F -4 2 3'
loop_
_atom_site_label
_atom_site_fract_x
_atom_site_fract_y
_atom_site_fract_z
_atom_site_occupancy
Na1 0.000 0.000 0.000 1
Li1 0.250 0.250 0.750 1
Tm1 0.000 0.000 0.500 1
In1 0.250 0.250 0.250 1
```


2.
Below is an optimized crystal structure of NaLiInW2, with properties calculated at the GGA-PBE level.

Geometry as CIF:
```
data_NaLiInW2
_cell_length_a 4.391
_cell_length_b 4.391
_cell_length_c 4.634
_cell_angle_alpha 90.00
_cell_angle_beta 90.00
_cell_angle_gamma 90.00
_space_group_name_H-M_alt 'P 4/m m m'
_space_group_IT_number 123
_space_group_name_Hall '-P 4 2'
loop_
_atom_site_label
_atom_site_fract_x
_atom_site_fract_y
_atom_site_fract_z
_atom_site_occupancy
Na1 0.000 0.000 0.000 1
Li1 0.000 0.000 0.500 1
In1 0.500 0.500 0.000 1
W1 0.000 0.500 0.500 1
```


3.
Below is an optimized crystal structure of NaLiYIn, with properties calculated at the GGA-PBE level.

Geometry as CIF:
```
data_NaLiYIn
_cell_length_a 7.405
_cell_length_b 7.405
_cell_length_c 7.405
_cell_angle_alpha 90.00
_cell_angle_beta 90.00
_cell_angle_gamma 90.00
_space_group_name_H-M_alt 'F -4 3 m'
_space_group_IT_number 216
_space_group_name_Hall 'F -4 2 3'
loop_
_atom_site_label
_atom_site_fract_x
_atom_site_fract_y
_atom_site_fract_z
_atom_site_occupancy
Na1 0.000 0.000 0.000 1
Li1 0.250 0.250 0.250 1
Y1 0.000 0.000 0.500 1
In1 0.250 0.250 0.750 1
```


4.
Below is an optimized crystal structure of Li2NbIn2, with properties calculated at the GGA-PBE level.

Geometry as CIF:
```
data_Li2NbIn2
_cell_length_a 4.349
_cell_length_b 4.349
_cell_length_c 9.360
_cell_angle_alpha 90.00
_cell_angle_beta 90.00
_cell_angle_gamma 90.00
_space_group_name_H-M_alt 'I 4/m m m'
_space_group_IT_number 139
_space_group_name_Hall '-I 4 2'
loop_
_atom_site_label
_atom_site_fract_x
_atom_site_fract_y
_atom_site_fract_z
_atom_site_occupancy
Li1 0.000 0.000 0.109 1
Nb1 0.000 0.000 0.500 1
In1 0.000 0.500 0.250 1
```

Output
Energy above the most stable polymorph in this dataset = 230.1 meV per atom


5.
Below is an optimized crystal structure of Li2NbIn2, with properties calculated at the GGA-PBE level.

Geometry as CIF:
```
data_Li2NbIn2
_cell_length_a 7.885
_cell_length_b 7.885
_cell_length_c 2.974
_cell_angle_alpha 90.00
_cell_angle_beta 90.00
_cell_angle_gamma 90.00
_space_group_name_H-M_alt 'P 4/m b m'
_space_group_IT_number 127
_space_group_name_Hall '-P 4 2ab'
loop_
_atom_site_label
_atom_site_fract_x
_atom_site_fract_y
_atom_site_fract_z
_atom_site_occupancy
Li1 0.153 0.347 0.000 1
Nb1 0.000 0.000 0.500 1
In1 0.149 0.649 0.500 1
```

Output
Energy above the most stable polymorph in this dataset = 87.4 meV per atom


6.
Below is an optimized crystal structure of LiNb2In2, with properties calculated at the GGA-PBE level.

Geometry as CIF:
```
data_LiNb2In2
_cell_length_a 3.822
_cell_length_b 3.822
_cell_length_c 14.907
_cell_angle_alpha 90.00
_cell_angle_beta 90.00
_cell_angle_gamma 90.00
_space_group_name_H-M_alt 'I 4/m m m'
_space_group_IT_number 139
_space_group_name_Hall '-I 4 2'
loop_
_atom_site_label
_atom_site_fract_x
_atom_site_fract_y
_atom_site_fract_z
_atom_site_occupancy
Li1 0.000 0.000 0.000 1
Nb1 0.000 0.500 0.250 1
In1 0.000 0.000 0.405 1
```

Output
Energy above the most stable polymorph in this dataset = 74.5 meV per atom


7.
Below is an optimized crystal structure of LiNb3In, with properties calculated at the GGA-PBE level.

Geometry as CIF:
```
data_LiNb3In
_cell_length_a 5.112
_cell_length_b 5.112
_cell_length_c 5.112
_cell_angle_alpha 90.00
_cell_angle_beta 90.00
_cell_angle_gamma 90.00
_space_group_name_H-M_alt 'P m -3 m'
_space_group_IT_number 221
_space_group_name_Hall '-P 4 2 3'
loop_
_atom_site_label
_atom_site_fract_x
_atom_site_fract_y
_atom_site_fract_z
_atom_site_occupancy
Li1 0.000 0.000 0.000 1
Nb1 0.000 0.500 0.500 1
In1 0.500 0.500 0.500 1
```

Output
Energy above the most stable polymorph in this dataset = 1053.6 meV per atom


8.
Below is an optimized crystal structure of Li2NbIn2, with properties calculated at the GGA-PBE level.

Geometry as CIF:
```
data_Li2NbIn2
_cell_length_a 7.749
_cell_length_b 7.749
_cell_length_c 2.932
_cell_angle_alpha 90.00
_cell_angle_beta 90.00
_cell_angle_gamma 90.00
_space_group_name_H-M_alt 'P 4/m b m'
_space_group_IT_number 127
_space_group_name_Hall '-P 4 2ab'
loop_
_atom_site_label
_atom_site_fract_x
_atom_site_fract_y
_atom_site_fract_z
_atom_site_occupancy
Li1 0.117 0.383 0.000 1
Nb1 0.000 0.000 0.000 1
In1 0.180 0.680 0.500 1
```

Output
Energy above the most stable polymorph in this dataset = 0.0 meV per atom


9.
Below is an optimized crystal structure of LiNb3In, with properties calculated at the GGA-PBE level.

Geometry as CIF:
```
data_LiNb3In
_cell_length_a 4.486
_cell_length_b 4.486
_cell_length_c 4.486
_cell_angle_alpha 90.00
_cell_angle_beta 90.00
_cell_angle_gamma 90.00
_space_group_name_H-M_alt 'P m -3 m'
_space_group_IT_number 221
_space_group_name_Hall '-P 4 2 3'
loop_
_atom_site_label
_atom_site_fract_x
_atom_site_fract_y
_atom_site_fract_z
_atom_site_occupancy
Li1 0.000 0.000 0.000 1
Nb1 0.000 0.000 0.500 1
In1 0.500 0.500 0.500 1
```

Output
Energy above the most stable polymorph in this dataset = 0.0 meV per atom


10.
Below is an optimized crystal structure of LiNb2In2, with properties calculated at the GGA-PBE level.

Geometry as CIF:
```
data_LiNb2In2
_cell_length_a 8.561
_cell_length_b 8.561
_cell_length_c 2.999
_cell_angle_alpha 90.00
_cell_angle_beta 90.00
_cell_angle_gamma 90.00
_space_group_name_H-M_alt 'P 4/m b m'
_space_group_IT_number 127
_space_group_name_Hall '-P 4 2ab'
loop_
_atom_site_label
_atom_site_fract_x
_atom_site_fract_y
_atom_site_fract_z
_atom_site_occupancy
Li1 0.000 0.000 0.000 1
Nb1 0.110 0.390 0.500 1
In1 0.185 0.685 0.000 1
```

Output
Energy above the most stable polymorph in this dataset = 0.0 meV per atom


11.
Below is an optimized crystal structure of LiNb2In, with properties calculated at the GGA-PBE level.

Geometry as CIF:
```
data_LiNb2In
_cell_length_a 7.614
_cell_length_b 7.614
_cell_length_c 5.213
_cell_angle_alpha 90.00
_cell_angle_beta 90.00
_cell_angle_gamma 90.00
_space_group_name_H-M_alt 'I -4 2 d'
_space_group_IT_number 122
_space_group_name_Hall 'I -4 2bw'
loop_
_atom_site_label
_atom_site_fract_x
_atom_site_fract_y
_atom_site_fract_z
_atom_site_occupancy
Li1 0.000 0.000 0.000 1
Nb1 0.239 0.750 0.125 1
In1 0.000 0.000 0.500 1
```


12.
Below is an optimized crystal structure of Li2NbIn, with properties calculated at the GGA-PBE level.

Geometry as CIF:
```
data_Li2NbIn
_cell_length_a 7.336
_cell_length_b 7.336
_cell_length_c 5.692
_cell_angle_alpha 90.00
_cell_angle_beta 90.00
_cell_angle_gamma 90.00
_space_group_name_H-M_alt 'I -4 2 d'
_space_group_IT_number 122
_space_group_name_Hall 'I -4 2bw'
loop_
_atom_site_label
_atom_site_fract_x
_atom_site_fract_y
_atom_site_fract_z
_atom_site_occupancy
Li1 0.239 0.750 0.125 1
Nb1 0.000 0.000 0.500 1
In1 0.000 0.000 0.000 1
```


no.,calculated volume (Å³/cell),size of the total moment (μB per cell),formation energy (kJ/mol of formula units)
1,397,0.0,-26
2,89,0.0,754
3,406,0.0,-43
4,177,0.0,106
5,185,0.0,37
6,218,0.0,118
7,134,0.0,900
8,176,0.0,-5
9,90,0.0,392
10,220,0.0,82
11,302,0.0,210
12,306,8.1,213